First-principles (GGA-PBE) data for Pm2Be3Si4Os after structural relaxation, as listed in the Alexandria database.

Properties
Energy relative to the elements, uncorrected: -41.6 kJ per mole of atoms
DOS(E_F): 3.9 states/eV/f.u.
Total magnetic moment: 0.000 μB/atom

abc: 3.9588 3.9588 9.9609
angles: 90.00 90.00 90.00
Sites, in units of the cell vectors:
Pm 0.0000 0.5000 0.2395
Pm 0.5000 0.0000 0.7605
Be 0.0000 0.5000 0.8719
Be 0.5000 0.0000 0.1281
Be 0.5000 0.5000 0.5000
Si 0.0000 0.0000 0.0000
Si 0.0000 0.5000 0.6335
Si 0.5000 0.0000 0.3665
Si 0.5000 0.5000 0.0000
Os 0.0000 0.0000 0.5000

First-principles (GGA-PBE) data for TbPmBeOs after structural relaxation, as listed in the Alexandria database.

Properties
DOS(E_F): 3.5 states/eV/f.u.
Electronic total energy: -6.045 eV per atom
Total magnetic moment: 0.000 μB/atom

abc: 4.9077 4.9077 4.9077
angles: 60.00 60.00 60.00
Sites, in units of the cell vectors:
Tb 0.0000 0.0000 0.0000
Pm 0.5000 0.5000 0.5000
Be 0.7500 0.7500 0.7500
Os 0.2500 0.2500 0.2500

First-principles (GGA-PBE) data for PrBeOs after structural relaxation, as listed in the Alexandria database.

Properties
DOS(E_F): 1.6 states/eV/f.u.
Electronic total energy: -6.391 eV per atom
Total magnetic moment: 0.000 μB/atom

abc: 10.0961 10.0961 10.0961
angles: 22.46 22.46 22.46
Sites, in units of the cell vectors:
Pr 0.1011 0.1011 0.1011
Pr 0.8989 0.8989 0.8989
Be 0.2906 0.2906 0.2906
Be 0.7094 0.7094 0.7094
Os 0.3677 0.3677 0.3677
Os 0.6323 0.6323 0.6323

First-principles (GGA-PBE) data for BeOsPt2 after structural relaxation, as listed in the Alexandria database.

Properties
DOS(E_F): 3.7 states/eV/f.u.
Electronic total energy: -6.716 eV per atom
Total magnetic moment: 0.184 μB/atom

abc: 4.5931 4.5931 2.7122
angles: 90.00 90.00 90.00
Sites, in units of the cell vectors:
Be 0.0000 0.0000 0.0000
Os 0.5000 0.5000 0.0000
Pt 0.0000 0.5000 0.5000
Pt 0.5000 0.0000 0.5000

First-principles (GGA-PBE) data for BeOsPt2 after structural relaxation, as listed in the Alexandria database.

Properties
DOS(E_F): 4.1 states/eV/f.u.
Electronic total energy: -6.720 eV per atom
Total magnetic moment: 0.000 μB/atom

abc: 4.7118 4.7118 4.7031
angles: 105.24 105.24 33.40
Sites, in units of the cell vectors:
Be 0.0000 0.0000 0.0000
Os 0.5000 0.5000 0.5000
Pt 0.2698 0.2698 0.7604
Pt 0.7302 0.7302 0.2396

First-principles (GGA-PBE) data for BeOsPt2 after structural relaxation, as listed in the Alexandria database.

Properties
DOS(E_F): 3.4 states/eV/f.u.
Electronic total energy: -6.782 eV per atom
Total magnetic moment: 0.000 μB/atom

abc: 2.7415 3.8181 5.3223
angles: 90.00 90.00 90.00
Sites, in units of the cell vectors:
Be 0.0000 0.0000 0.0000
Os 0.0000 0.0000 0.5000
Pt 0.5000 0.5000 0.2454
Pt 0.5000 0.5000 0.7546

First-principles (GGA-PBE) data for BeOsPt2 after structural relaxation, as listed in the Alexandria database.

Properties
DOS(E_F): 4.2 states/eV/f.u.
Electronic total energy: -6.722 eV per atom
Total magnetic moment: 0.000 μB/atom

abc: 2.7069 2.7069 8.7400
angles: 90.00 90.00 119.01
Sites, in units of the cell vectors:
Be 0.0000 0.0000 0.0000
Os 0.5000 0.5000 0.2190
Pt 0.0000 0.0000 0.4962
Pt 0.5000 0.5000 0.7877

First-principles (GGA-PBE) data for BeOsPt2 after structural relaxation, as listed in the Alexandria database.

Properties
DOS(E_F): 2.6 states/eV/f.u.
Electronic total energy: -6.747 eV per atom
Total magnetic moment: 0.000 μB/atom

abc: 4.6880 4.6880 4.6880
angles: 132.22 132.22 69.88
Sites, in units of the cell vectors:
Be 0.0000 0.0000 0.0000
Os 0.5000 0.5000 0.0000
Pt 0.2500 0.7500 0.5000
Pt 0.7500 0.2500 0.5000

First-principles (GGA-PBE) data for BeOsPt2 after structural relaxation, as listed in the Alexandria database.

Properties
DOS(E_F): 3.1 states/eV/f.u.
Electronic total energy: -6.786 eV per atom
Total magnetic moment: 0.000 μB/atom

abc: 2.7438 3.9202 5.2488
angles: 90.00 102.08 90.00
Sites, in units of the cell vectors:
Be 0.0000 0.0000 0.0000
Os 0.0000 0.0000 0.5000
Pt 0.3850 0.5000 0.2383
Pt 0.6150 0.5000 0.7617

First-principles (GGA-PBE) data for BeOsPt2 after structural relaxation, as listed in the Alexandria database.

Properties
DOS(E_F): 4.3 states/eV/f.u.
Electronic total energy: -6.857 eV per atom
Total magnetic moment: 0.000 μB/atom

abc: 8.6477 8.6477 8.6477
angles: 18.17 18.17 18.17
Sites, in units of the cell vectors:
Be 0.0000 0.0000 0.0000
Os 0.7415 0.7415 0.7415
Pt 0.2619 0.2619 0.2619
Pt 0.4981 0.4981 0.4981

First-principles (GGA-PBE) data for BeOsPt2 after structural relaxation, as listed in the Alexandria database.

Properties
DOS(E_F): 3.7 states/eV/f.u.
Electronic total energy: -6.357 eV per atom
Total magnetic moment: 0.038 μB/atom

abc: 9.0513 9.0513 9.0513
angles: 156.09 156.09 34.07
Sites, in units of the cell vectors:
Be 0.0000 0.0000 0.0000
Be 0.7500 0.2500 0.5000
Os 0.2500 0.7500 0.5000
Os 0.5000 0.5000 0.0000
Pt 0.1178 0.6250 0.9928
Pt 0.3750 0.3678 0.4928
Pt 0.6322 0.1250 0.0072
Pt 0.8750 0.8822 0.5072

First-principles (GGA-PBE) data for Be3OsPt after structural relaxation, as listed in the Alexandria database.

Properties
DOS(E_F): 1.6 states/eV/f.u.
Total magnetic moment: 0.000 μB/atom
ΔE to the lowest computed polymorph: 0 kJ/mol of formula units

abc: 4.1092 4.1092 4.1092
angles: 90.00 90.00 90.00
Sites, in units of the cell vectors:
Be 0.0000 0.0000 0.5000
Be 0.0000 0.5000 0.0000
Be 0.5000 0.0000 0.0000
Os 0.0000 0.0000 0.0000
Pt 0.5000 0.5000 0.5000

First-principles (GGA-PBE) data for BeOsPt2 after structural relaxation, as listed in the Alexandria database.

Properties
DOS(E_F): 3.7 states/eV/f.u.
Electronic total energy: -6.865 eV per atom
Total magnetic moment: 0.000 μB/atom

abc: 5.2515 5.2515 5.2515
angles: 149.83 131.30 58.36
Sites, in units of the cell vectors:
Be 0.0000 0.0000 0.0000
Os 0.2105 0.7105 0.5000
Pt 0.4959 0.4959 0.0000
Pt 0.7935 0.2935 0.5000

First-principles (GGA-PBE) data for Be3OsPt after structural relaxation, as listed in the Alexandria database.

Properties
DOS(E_F): 0.4 states/eV/f.u.
Total magnetic moment: 0.000 μB/atom
ΔE to the lowest computed polymorph: 15 kJ/mol of formula units

abc: 4.0972 4.0972 4.0972
angles: 90.00 90.00 90.00
Sites, in units of the cell vectors:
Be 0.0000 0.0000 0.5000
Be 0.0000 0.5000 0.0000
Be 0.5000 0.0000 0.0000
Os 0.5000 0.5000 0.5000
Pt 0.0000 0.0000 0.0000

First-principles (GGA-PBE) data for BeOsPt after structural relaxation, as listed in the Alexandria database.

Properties
DOS(E_F): 1.3 states/eV/f.u.
Electronic total energy: -7.051 eV per atom
Total magnetic moment: 0.000 μB/atom

abc: 2.7051 2.7051 6.1984
angles: 90.00 90.00 120.00
Sites, in units of the cell vectors:
Be 0.0000 0.0000 0.0000
Os 0.6667 0.3333 0.3092
Pt 0.3333 0.6667 0.6967

First-principles (GGA-PBE) data for BeOsPt2 after structural relaxation, as listed in the Alexandria database.

Properties
DOS(E_F): 3.3 states/eV/f.u.
Electronic total energy: -6.766 eV per atom
Total magnetic moment: 0.000 μB/atom

abc: 4.8829 4.8829 4.8829
angles: 142.31 129.41 64.77
Sites, in units of the cell vectors:
Be 0.0000 0.0000 0.0000
Os 0.5000 0.5000 0.0000
Pt 0.2184 0.7184 0.5000
Pt 0.7816 0.2816 0.5000

First-principles (GGA-PBE) data for BeOsPt3 after structural relaxation, as listed in the Alexandria database.

Properties
DOS(E_F): 6.5 states/eV/f.u.
Total magnetic moment: 0.313 μB/atom
ΔE to the lowest computed polymorph: 0 kJ/mol of formula units

abc: 4.1890 4.1890 4.1890
angles: 90.00 90.00 90.00
Sites, in units of the cell vectors:
Be 0.0000 0.0000 0.0000
Os 0.5000 0.5000 0.5000
Pt 0.0000 0.0000 0.5000
Pt 0.0000 0.5000 0.0000
Pt 0.5000 0.0000 0.0000

First-principles (GGA-PBE) data for BeOsPt2 after structural relaxation, as listed in the Alexandria database.

Properties
DOS(E_F): 3.5 states/eV/f.u.
Electronic total energy: -6.828 eV per atom
Total magnetic moment: 0.000 μB/atom

abc: 4.6627 4.6627 2.7276
angles: 90.00 90.00 109.47
Sites, in units of the cell vectors:
Be 0.0000 0.0000 0.0000
Os 0.5000 0.5000 0.0000
Pt 0.0000 0.5000 0.5000
Pt 0.5000 0.0000 0.5000

First-principles (GGA-PBE) data for BeOsPt2 after structural relaxation, as listed in the Alexandria database.

Properties
DOS(E_F): 5.5 states/eV/f.u.
Electronic total energy: -6.933 eV per atom
Total magnetic moment: 0.002 μB/atom

abc: 2.7655 2.7655 6.9641
angles: 90.00 90.00 90.00
Sites, in units of the cell vectors:
Be 0.0000 0.0000 0.0000
Os 0.0000 0.0000 0.5000
Pt 0.5000 0.5000 0.2109
Pt 0.5000 0.5000 0.7891

First-principles (GGA-PBE) data for BeOsPt after structural relaxation, as listed in the Alexandria database.

Properties
DOS(E_F): 2.8 states/eV/f.u.
Electronic total energy: -6.941 eV per atom
Total magnetic moment: 0.000 μB/atom

abc: 6.8116 6.5539 2.6747
angles: 83.93 73.09 22.98
Sites, in units of the cell vectors:
Be 0.0000 0.0000 0.0000
Os 0.3504 0.3504 0.6496
Pt 0.6478 0.6478 0.3522